(1)
This record from the Alexandria database describes a relaxed structure of Hg2PbI6. The functional is PBE.

V = 410.1 Å³/f.u.
Total magnetic moment = 0.000 μB/cell
Final energy = -17.071 eV/cell
N(E_F) = 0.00 states/eV/cell
Distance to the lowest polymorph of the same formula = 5 meV per atom
Space-group type = C2/m (12)
E_form (uncorrected) = -384 meV/atom

```
Hg2PbI6
1.0
7.641 -2.306 0.000
7.641 2.306 0.000
-5.313 0.000 11.641
Hg Pb I
2 1 6
Direct
0.161 0.161 0.218 Hg
0.839 0.839 0.782 Hg
0.000 0.000 0.500 Pb
0.013 0.013 0.761 I
0.313 0.313 0.901 I
0.335 0.335 0.440 I
0.665 0.665 0.560 I
0.687 0.687 0.099 I
0.987 0.987 0.239 I
```

---

(2)
This record from the Alexandria database describes a relaxed structure of Hg12Pb5I3. The functional is PBE.

V = 790.7 Å³/f.u.
Total magnetic moment = 0.000 μB/cell
Final energy = -100.356 eV/cell
N(E_F) = 38.50 states/eV/cell
Space-group type = Ia-3d (230)
E_form (uncorrected) = 86 meV/atom

```
Hg12Pb5I3
1.0
-9.247 9.247 9.247
9.247 -9.247 9.247
9.247 9.247 -9.247
Hg Pb I
48 20 12
Direct
0.031 0.213 0.088 Hg
0.031 0.319 0.944 Hg
0.056 0.588 0.375 Hg
0.056 0.969 0.681 Hg
0.088 0.031 0.213 Hg
0.088 0.556 0.875 Hg
0.125 0.713 0.681 Hg
0.125 0.912 0.444 Hg
0.181 0.213 0.625 Hg
0.181 0.469 0.556 Hg
0.213 0.088 0.031 Hg
0.213 0.625 0.181 Hg
0.287 0.319 0.875 Hg
0.287 0.469 0.412 Hg
0.319 0.875 0.287 Hg
0.319 0.944 0.031 Hg
0.375 0.056 0.588 Hg
0.375 0.819 0.787 Hg
0.412 0.287 0.469 Hg
0.412 0.625 0.944 Hg
0.444 0.125 0.912 Hg
0.444 0.819 0.531 Hg
0.469 0.412 0.287 Hg
0.469 0.556 0.181 Hg
0.531 0.444 0.819 Hg
0.531 0.588 0.713 Hg
0.556 0.181 0.469 Hg
0.556 0.875 0.088 Hg
0.588 0.375 0.056 Hg
0.588 0.713 0.531 Hg
0.625 0.181 0.213 Hg
0.625 0.944 0.412 Hg
0.681 0.056 0.969 Hg
0.681 0.125 0.713 Hg
0.713 0.531 0.588 Hg
0.713 0.681 0.125 Hg
0.787 0.375 0.819 Hg
0.787 0.912 0.969 Hg
0.819 0.531 0.444 Hg
0.819 0.787 0.375 Hg
0.875 0.088 0.556 Hg
0.875 0.287 0.319 Hg
0.912 0.444 0.125 Hg
0.912 0.969 0.787 Hg
0.944 0.031 0.319 Hg
0.944 0.412 0.625 Hg
0.969 0.681 0.056 Hg
0.969 0.787 0.912 Hg
0.000 0.000 0.000 Pb
0.000 0.000 0.500 Pb
0.000 0.500 0.000 Pb
0.000 0.500 0.500 Pb
0.125 0.750 0.875 Pb
0.125 0.875 0.250 Pb
0.250 0.125 0.875 Pb
0.250 0.625 0.375 Pb
0.375 0.250 0.625 Pb
0.375 0.625 0.750 Pb
0.500 0.000 0.000 Pb
0.500 0.000 0.500 Pb
0.500 0.500 0.000 Pb
0.500 0.500 0.500 Pb
0.625 0.375 0.250 Pb
0.625 0.750 0.375 Pb
0.750 0.375 0.625 Pb
0.750 0.875 0.125 Pb
0.875 0.125 0.750 Pb
0.875 0.250 0.125 Pb
0.125 0.250 0.375 I
0.125 0.375 0.750 I
0.250 0.375 0.125 I
0.250 0.875 0.625 I
0.375 0.125 0.250 I
0.375 0.750 0.125 I
0.625 0.250 0.875 I
0.625 0.875 0.750 I
0.750 0.125 0.375 I
0.750 0.625 0.875 I
0.875 0.625 0.250 I
0.875 0.750 0.625 I
```

---

(3)
This record from the Alexandria database describes a relaxed structure of HgPb3I. The functional is PBE.

V = 202.9 Å³/f.u.
Total magnetic moment = 0.000 μB/cell
Final energy = -11.368 eV/cell
N(E_F) = 2.12 states/eV/cell
Distance to the lowest polymorph of the same formula = 0 meV per atom
Space-group type = Pm-3m (221)
E_form (uncorrected) = 322 meV/atom

```
HgPb3I
1.0
5.877 0.000 0.000
0.000 5.877 0.000
0.000 0.000 5.877
Hg Pb I
1 3 1
Direct
0.000 0.000 0.000 Hg
0.000 0.000 0.500 Pb
0.000 0.500 0.000 Pb
0.500 0.000 0.000 Pb
0.500 0.500 0.500 I
```

---

(4)
This record from the Alexandria database describes a relaxed structure of HgPbI. The functional is PBE.

V = 104.2 Å³/f.u.
Total magnetic moment = 0.000 μB/cell
Final energy = -5.837 eV/cell
N(E_F) = 1.05 states/eV/cell
Distance to the lowest polymorph of the same formula = 92 meV per atom
Space-group type = P3m1 (156)
E_form (uncorrected) = -92 meV/atom

```
HgPbI
1.0
5.602 0.000 0.000
-2.801 4.852 0.000
0.000 0.000 3.832
Hg Pb I
1 1 1
Direct
0.000 0.000 0.000 Hg
0.333 0.667 0.367 Pb
0.667 0.333 0.516 I
```

---

(5)
This record from the Alexandria database describes a relaxed structure of HgPbI4. The functional is PBE.

V = 268.5 Å³/f.u.
Total magnetic moment = 0.000 μB/cell
Final energy = -25.204 eV/cell
Distance to the lowest polymorph of the same formula = 50 meV per atom
Space-group type = C2/c (15)
E_form (uncorrected) = -399 meV/atom

```
HgPbI4
1.0
4.507 -8.874 0.000
4.507 8.874 0.000
-4.430 0.000 6.711
Hg Pb I
2 2 8
Direct
0.172 0.828 0.750 Hg
0.828 0.172 0.250 Hg
0.321 0.679 0.250 Pb
0.679 0.321 0.750 Pb
0.088 0.477 0.763 I
0.168 0.293 0.237 I
0.293 0.168 0.737 I
0.477 0.088 0.263 I
0.523 0.912 0.737 I
0.707 0.832 0.263 I
0.832 0.707 0.763 I
0.912 0.523 0.237 I
```

---

(6)
This record from the Alexandria database describes a relaxed structure of Hg2PbI2. The functional is PBE.

V = 251.5 Å³/f.u.
Total magnetic moment = 0.000 μB/cell
Final energy = -16.412 eV/cell
N(E_F) = 0.00 states/eV/cell
Distance to the lowest polymorph of the same formula = 88 meV per atom
Space-group type = P4/mbm (127)
E_form (uncorrected) = -159 meV/atom

```
Hg2PbI2
1.0
8.483 0.000 0.000
0.000 8.483 0.000
0.000 0.000 6.989
Hg Pb I
4 2 4
Direct
0.139 0.361 0.000 Hg
0.361 0.861 0.000 Hg
0.639 0.139 0.000 Hg
0.861 0.639 0.000 Hg
0.000 0.000 0.500 Pb
0.500 0.500 0.500 Pb
0.172 0.672 0.500 I
0.328 0.172 0.500 I
0.672 0.828 0.500 I
0.828 0.328 0.500 I
```